Here is PmScCo2 after structural relaxation from the Alexandria database. Energies are from PBE.

Summary:
Energy of formation   -0.11 eV/atom
E above lowest polymorph   0.013 eV/atom
Space group   Fm-3m, No. 225

Geometry as POSCAR:
```
PmScCo2
1.0
4.6468 0.0000 0.0000
2.3234 4.0242 0.0000
2.3234 1.3414 3.7941
Sc Co Pm
1 2 1
direct
0.5000 0.5000 0.5000
0.2500 0.2500 0.2500
0.7500 0.7500 0.7500
0.0000 0.0000 0.0000
```